Entry 1:
Sn3Mo15Se19 (PBEsol, optimized geometry); formation energy from raw total energies = -502 meV per atom; DFT total energy = -7.595 eV per atom; size of the total moment = 0.0 μB per cell
1.0
-1.715 -3.128 -9.035
4.513 -5.803 6.288
-17.081 -7.106 5.701
Sn Mo Se
6 30 38
Direct
0.678 0.380 0.607 Sn
0.322 0.620 0.107 Sn
0.322 0.620 0.393 Sn
0.678 0.380 0.893 Sn
0.829 0.037 0.750 Sn
0.171 0.963 0.250 Sn
0.189 0.506 0.635 Mo
0.316 0.817 0.635 Mo
0.498 0.684 0.635 Mo
0.811 0.494 0.135 Mo
0.684 0.183 0.135 Mo
0.502 0.316 0.135 Mo
0.811 0.494 0.365 Mo
0.684 0.183 0.365 Mo
0.502 0.316 0.365 Mo
0.189 0.506 0.865 Mo
0.316 0.817 0.865 Mo
0.498 0.684 0.865 Mo
0.152 0.169 0.557 Mo
0.017 0.848 0.556 Mo
0.842 0.986 0.558 Mo
0.848 0.831 0.057 Mo
0.983 0.152 0.056 Mo
0.158 0.014 0.058 Mo
0.848 0.831 0.443 Mo
0.983 0.152 0.444 Mo
0.158 0.014 0.442 Mo
0.152 0.169 0.943 Mo
0.017 0.848 0.944 Mo
0.842 0.986 0.942 Mo
0.353 0.518 0.750 Mo
0.173 0.662 0.750 Mo
0.495 0.842 0.750 Mo
0.647 0.482 0.250 Mo
0.827 0.338 0.250 Mo
0.505 0.158 0.250 Mo
0.051 0.360 0.750 Se
0.315 0.966 0.750 Se
0.654 0.686 0.750 Se
0.949 0.640 0.250 Se
0.685 0.034 0.250 Se
0.346 0.314 0.250 Se
0.028 0.004 0.661 Se
0.972 0.996 0.161 Se
0.972 0.996 0.339 Se
0.028 0.004 0.839 Se
0.377 0.379 0.641 Se
0.008 0.630 0.642 Se
0.615 0.996 0.633 Se
0.623 0.621 0.141 Se
0.992 0.370 0.142 Se
0.385 0.004 0.133 Se
0.623 0.621 0.359 Se
0.992 0.370 0.358 Se
0.385 0.004 0.367 Se
0.377 0.379 0.859 Se
0.008 0.630 0.858 Se
0.615 0.996 0.867 Se
0.964 0.290 0.553 Se
0.323 0.038 0.550 Se
0.711 0.673 0.551 Se
0.036 0.710 0.053 Se
0.677 0.962 0.050 Se
0.289 0.327 0.051 Se
0.036 0.710 0.447 Se
0.677 0.962 0.450 Se
0.289 0.327 0.449 Se
0.964 0.290 0.947 Se
0.323 0.038 0.950 Se
0.711 0.673 0.949 Se
0.664 0.329 0.032 Se
0.336 0.671 0.532 Se
0.336 0.671 0.968 Se
0.664 0.329 0.468 Se

Entry 2:
ReBi2IO (PBEsol, optimized geometry); formation energy from raw total energies = 1421 meV per atom; DFT total energy = -4.363 eV per atom; size of the total moment = 3.1 μB per cell
1.0
3.829 0.000 0.000
0.000 5.858 0.000
0.000 0.000 5.858
I Re Bi O
1 1 2 1
Direct
0.000 0.000 0.000 I
0.500 0.500 0.500 Re
0.000 0.000 0.500 Bi
0.000 0.500 0.000 Bi
0.500 0.000 0.000 O

Entry 3:
Ba4Br6O (PBEsol, optimized geometry); formation energy from raw total energies = -2331 meV per atom; DFT total energy = -4.610 eV per atom; size of the total moment = 0.3 μB per cell
1.0
-1.834 -4.669 -6.053
9.823 -3.086 -0.596
-6.662 -5.128 5.973
Ba Br O
8 12 2
Direct
0.579 0.667 0.333 Ba
0.079 0.333 0.667 Ba
0.001 0.801 0.602 Ba
0.001 0.801 0.199 Ba
0.001 0.398 0.199 Ba
0.501 0.199 0.398 Ba
0.501 0.199 0.801 Ba
0.501 0.602 0.801 Ba
0.291 0.530 0.060 Br
0.291 0.530 0.470 Br
0.291 0.940 0.470 Br
0.791 0.470 0.940 Br
0.791 0.470 0.530 Br
0.791 0.060 0.530 Br
0.606 0.856 0.712 Br
0.606 0.856 0.144 Br
0.606 0.288 0.144 Br
0.106 0.144 0.288 Br
0.106 0.144 0.856 Br
0.106 0.712 0.856 Br
0.901 0.667 0.333 O
0.401 0.333 0.667 O

Entry 4:
AsOs2Pb (PBEsol, optimized geometry); DFT total energy = -7.591 eV per atom; energy of formation from the pure elements = 793 meV/atom; size of the total moment = 0.0 μB per cell
1.0
2.890 0.000 0.000
-1.445 2.521 0.000
0.000 0.000 10.130
Pb As Os
1 1 2
Direct
0.000 0.000 0.472 Pb
0.500 0.000 0.802 As
0.000 0.000 0.007 Os
0.500 0.000 0.219 Os

Entry 5:
Cu2Ir (PBEsol, optimized geometry); DFT total energy = -6.010 eV per atom; energy of formation from the pure elements = 153 meV/atom; size of the total moment = 0.0 μB per cell
1.0
-1.776 -1.902 0.383
1.191 -0.659 2.251
-2.834 4.736 1.349
Cu Ir
2 1
Direct
0.671 0.671 0.342 Cu
0.329 0.329 0.658 Cu
0.000 0.000 0.000 Ir

Entry 6:
CuNi2Te (PBEsol, optimized geometry); formation energy from raw total energies = 127 meV per atom; DFT total energy = -4.917 eV per atom; size of the total moment = 0.0 μB per cell
1.0
-1.433 1.739 2.305
0.595 -2.340 2.136
4.565 2.221 1.162
Cu Ni Te
1 2 1
Direct
0.500 0.500 0.500 Cu
0.000 0.000 0.737 Ni
0.000 0.000 0.263 Ni
0.500 0.500 0.000 Te

Entry 7:
BeCrRu (PBEsol, optimized geometry); DFT total energy = -8.267 eV per atom; energy of formation from the pure elements = -129 meV/atom; size of the total moment = 0.0 μB per cell
1.0
-1.097 0.715 2.525
-2.354 -1.478 -0.604
3.370 -2.909 0.686
Ru Cr Be
1 1 1
Direct
0.334 0.334 0.668 Ru
0.664 0.664 0.329 Cr
0.002 0.002 0.003 Be

Entry 8:
ZrSc2Mo (PBEsol, optimized geometry); DFT total energy = -8.340 eV per atom; energy of formation from the pure elements = 177 meV/atom; size of the total moment = 0.0 μB per cell
1.0
2.932 -0.007 0.000
-1.007 2.754 0.000
0.000 0.000 9.892
Mo Sc Zr
1 2 1
Direct
0.500 0.500 0.000 Mo
0.000 0.000 0.219 Sc
0.000 0.000 0.781 Sc
0.500 0.500 0.500 Zr

Entry 9:
Hg2AsSe (PBEsol, optimized geometry); formation energy from raw total energies = 47 meV per atom; DFT total energy = -2.475 eV per atom; size of the total moment = 0.0 μB per cell
1.0
3.475 0.000 0.000
-1.737 3.846 -0.001
0.000 -1.490 6.964
As Hg Se
1 2 1
Direct
0.798 0.595 0.249 As
0.017 0.034 0.012 Hg
0.237 0.473 0.753 Hg
0.449 0.897 0.486 Se

Entry 10:
SrSc2O4 (PBEsol, optimized geometry); formation energy from raw total energies = -3403 meV per atom; DFT total energy = -8.552 eV per atom; size of the total moment = 0.0 μB per cell
1.0
3.178 0.000 0.000
0.000 9.644 0.000
0.000 0.000 11.249
Sr Sc O
4 8 16
Direct
0.250 0.255 0.846 Sr
0.750 0.245 0.346 Sr
0.250 0.755 0.654 Sr
0.750 0.745 0.154 Sr
0.250 0.429 0.610 Sc
0.250 0.422 0.106 Sc
0.750 0.078 0.606 Sc
0.750 0.071 0.110 Sc
0.250 0.929 0.890 Sc
0.250 0.922 0.394 Sc
0.750 0.578 0.894 Sc
0.750 0.571 0.390 Sc
0.750 0.479 0.217 O
0.250 0.426 0.426 O
0.750 0.383 0.980 O
0.750 0.292 0.661 O
0.250 0.208 0.161 O
0.250 0.117 0.480 O
0.750 0.074 0.926 O
0.250 0.021 0.717 O
0.750 0.979 0.283 O
0.250 0.926 0.074 O
0.750 0.883 0.520 O
0.750 0.792 0.839 O
0.250 0.708 0.339 O
0.250 0.617 0.020 O
0.750 0.574 0.574 O
0.250 0.521 0.783 O

Entry 11:
Cu2Te (PBEsol, optimized geometry); formation energy from raw total energies = 77 meV per atom; DFT total energy = -3.988 eV per atom; size of the total moment = 0.0 μB per cell
1.0
-0.667 0.086 -4.089
3.759 -0.941 1.467
-1.880 -7.269 0.153
Cu Te
4 2
Direct
0.667 0.333 0.588 Cu
0.333 0.667 0.088 Cu
0.333 0.667 0.412 Cu
0.667 0.333 0.912 Cu
0.667 0.333 0.250 Te
0.333 0.667 0.750 Te

Entry 12:
KCa2Au (PBEsol, optimized geometry); DFT total energy = -2.346 eV per atom; energy of formation from the pure elements = -15 meV/atom; size of the total moment = 0.0 μB per cell
1.0
4.664 0.000 0.000
0.000 5.130 0.000
0.000 0.000 5.130
Au Ca K
1 2 1
Direct
0.500 0.000 0.000 Au
0.000 0.000 0.500 Ca
0.000 0.500 0.000 Ca
0.500 0.500 0.500 K